[1]
# GGA-PBE Be2RhSe, optimized geometry
data_Be2RhSe
_chemical_formula_sum 'Be2 Rh1 Se1'
_cell_length_a 4.2041
_cell_length_b 4.2041
_cell_length_c 4.4992
_cell_angle_alpha 92.02
_cell_angle_beta 92.02
_cell_angle_gamma 43.96
_space_group_name_H-M_alt 'P 1'
_space_group_IT_number 1
_space_group_name_Hall 'P 1'
loop_
_atom_site_label
_atom_site_fract_x
_atom_site_fract_y
_atom_site_fract_z
Be1 0.2076 0.2076 0.3508
Be2 0.7924 0.7924 0.6492
Rh1 0.5000 0.5000 0.5000
Se1 0.0000 0.0000 0.0000
# **Spin magnetization**: 0.0 μB per formula unit
# **Calculated total energy**: -4.62 eV per atom



[2]
# GGA-PBE BeRhSe, optimized geometry
data_BeRhSe
_chemical_formula_sum 'Be1 Rh1 Se1'
_cell_length_a 4.6210
_cell_length_b 4.6210
_cell_length_c 4.6210
_cell_angle_alpha 139.68
_cell_angle_beta 139.68
_cell_angle_gamma 58.34
_space_group_name_H-M_alt 'P 1'
_space_group_IT_number 1
_space_group_name_Hall 'P 1'
loop_
_atom_site_label
_atom_site_fract_x
_atom_site_fract_y
_atom_site_fract_z
Be1 0.0000 0.0000 0.0000
Rh1 0.6338 0.6338 0.0000
Se1 0.3300 0.3300 0.0000
# **Spin magnetization**: 0.0 μB per formula unit
# **Calculated total energy**: -4.92 eV per atom



[3]
# GGA-PBE Be2RhSe, optimized geometry
data_Be2RhSe
_chemical_formula_sum 'Be2 Rh1 Se1'
_cell_length_a 6.6900
_cell_length_b 6.6900
_cell_length_c 6.6900
_cell_angle_alpha 26.37
_cell_angle_beta 26.37
_cell_angle_gamma 26.37
_space_group_name_H-M_alt 'P 1'
_space_group_IT_number 1
_space_group_name_Hall 'P 1'
loop_
_atom_site_label
_atom_site_fract_x
_atom_site_fract_y
_atom_site_fract_z
Be1 0.2471 0.2471 0.2471
Be2 0.7529 0.7529 0.7529
Rh1 0.5000 0.5000 0.5000
Se1 0.0000 0.0000 0.0000
# **Spin magnetization**: 0.0 μB per formula unit
# **Calculated total energy**: -4.56 eV per atom



[4]
# GGA-PBE Be2RhSe, optimized geometry
data_Be2RhSe
_chemical_formula_sum 'Be2 Rh1 Se1'
_cell_length_a 4.8815
_cell_length_b 4.8815
_cell_length_c 4.8815
_cell_angle_alpha 139.21
_cell_angle_beta 138.17
_cell_angle_gamma 59.86
_space_group_name_H-M_alt 'P 1'
_space_group_IT_number 1
_space_group_name_Hall 'P 1'
loop_
_atom_site_label
_atom_site_fract_x
_atom_site_fract_y
_atom_site_fract_z
Be1 0.0000 0.0000 0.0000
Be2 0.7424 0.2424 0.5000
Rh1 0.2384 0.7384 0.5000
Se1 0.4923 0.4923 0.0000
# **Spin magnetization**: 0.0 μB per formula unit
# **Calculated total energy**: -4.54 eV per atom



[5]
# GGA-PBE Be2RhSe, optimized geometry
data_Be2RhSe
_chemical_formula_sum 'Be2 Rh1 Se1'
_cell_length_a 4.4787
_cell_length_b 4.4787
_cell_length_c 4.4787
_cell_angle_alpha 131.54
_cell_angle_beta 131.54
_cell_angle_gamma 70.96
_space_group_name_H-M_alt 'P 1'
_space_group_IT_number 1
_space_group_name_Hall 'P 1'
loop_
_atom_site_label
_atom_site_fract_x
_atom_site_fract_y
_atom_site_fract_z
Be1 0.2500 0.7500 0.5000
Be2 0.7500 0.2500 0.5000
Rh1 0.0000 0.0000 0.0000
Se1 0.5000 0.5000 0.0000
# **Spin magnetization**: 0.0 μB per formula unit
# **Calculated total energy**: -4.53 eV per atom



[6]
# GGA-PBE BeRhSe, optimized geometry
data_BeRhSe
_chemical_formula_sum 'Be1 Rh1 Se1'
_cell_length_a 3.9361
_cell_length_b 3.9361
_cell_length_c 3.9361
_cell_angle_alpha 60.00
_cell_angle_beta 60.00
_cell_angle_gamma 60.00
_space_group_name_H-M_alt 'P 1'
_space_group_IT_number 1
_space_group_name_Hall 'P 1'
loop_
_atom_site_label
_atom_site_fract_x
_atom_site_fract_y
_atom_site_fract_z
Be1 0.0000 0.0000 0.0000
Rh1 0.2500 0.2500 0.2500
Se1 0.7500 0.7500 0.7500
# **Spin magnetization**: 0.0 μB per formula unit
# **Calculated total energy**: -4.88 eV per atom



[7]
# GGA-PBE Be2RhSe, optimized geometry
data_Be2RhSe
_chemical_formula_sum 'Be2 Rh1 Se1'
_cell_length_a 2.7454
_cell_length_b 3.5756
_cell_length_c 5.7809
_cell_angle_alpha 90.00
_cell_angle_beta 102.64
_cell_angle_gamma 90.00
_space_group_name_H-M_alt 'P 1'
_space_group_IT_number 1
_space_group_name_Hall 'P 1'
loop_
_atom_site_label
_atom_site_fract_x
_atom_site_fract_y
_atom_site_fract_z
Be1 0.0000 0.0000 0.0000
Be2 0.0931 0.5000 0.2138
Rh1 0.4447 0.5000 0.8863
Se1 0.2106 0.0000 0.4610
# **Spin magnetization**: 0.0 μB per formula unit
# **Calculated total energy**: -4.78 eV per atom



[8]
# GGA-PBE BeRh3Se, optimized geometry
data_BeRh3Se
_chemical_formula_sum 'Be1 Rh3 Se1'
_cell_length_a 4.1942
_cell_length_b 4.1942
_cell_length_c 4.1942
_cell_angle_alpha 90.00
_cell_angle_beta 90.00
_cell_angle_gamma 90.00
_space_group_name_H-M_alt 'P 1'
_space_group_IT_number 1
_space_group_name_Hall 'P 1'
loop_
_atom_site_label
_atom_site_fract_x
_atom_site_fract_y
_atom_site_fract_z
Be1 0.0000 0.0000 0.0000
Rh1 0.0000 0.0000 0.5000
Rh2 0.0000 0.5000 0.0000
Rh3 0.5000 0.0000 0.0000
Se1 0.5000 0.5000 0.5000
# **Spin magnetization**: 1.3 μB per formula unit
# **Calculated total energy**: -5.52 eV per atom



[9]
# GGA-PBE BeRhSe, optimized geometry
data_BeRhSe
_chemical_formula_sum 'Be1 Rh1 Se1'
_cell_length_a 4.0278
_cell_length_b 4.0278
_cell_length_c 4.0278
_cell_angle_alpha 60.00
_cell_angle_beta 60.00
_cell_angle_gamma 60.00
_space_group_name_H-M_alt 'P 1'
_space_group_IT_number 1
_space_group_name_Hall 'P 1'
loop_
_atom_site_label
_atom_site_fract_x
_atom_site_fract_y
_atom_site_fract_z
Be1 0.0000 0.0000 0.0000
Rh1 0.2500 0.2500 0.2500
Se1 0.5000 0.5000 0.5000
# **Spin magnetization**: 0.0 μB per formula unit
# **Calculated total energy**: -4.97 eV per atom



[10]
# GGA-PBE Be2RhSe, optimized geometry
data_Be2RhSe
_chemical_formula_sum 'Be2 Rh1 Se1'
_cell_length_a 3.0618
_cell_length_b 3.0618
_cell_length_c 5.2557
_cell_angle_alpha 90.00
_cell_angle_beta 90.00
_cell_angle_gamma 90.00
_space_group_name_H-M_alt 'P 1'
_space_group_IT_number 1
_space_group_name_Hall 'P 1'
loop_
_atom_site_label
_atom_site_fract_x
_atom_site_fract_y
_atom_site_fract_z
Be1 0.0000 0.0000 0.2200
Be2 0.0000 0.0000 0.7800
Rh1 0.5000 0.5000 0.0000
Se1 0.5000 0.5000 0.5000
# **Spin magnetization**: 0.0 μB per formula unit
# **Calculated total energy**: -4.71 eV per atom



[11]
# GGA-PBE Be2RhSe, optimized geometry
data_Be2RhSe
_chemical_formula_sum 'Be4 Rh2 Se2'
_cell_length_a 5.8289
_cell_length_b 5.8289
_cell_length_c 5.8289
_cell_angle_alpha 124.77
_cell_angle_beta 124.77
_cell_angle_gamma 81.92
_space_group_name_H-M_alt 'P 1'
_space_group_IT_number 1
_space_group_name_Hall 'P 1'
loop_
_atom_site_label
_atom_site_fract_x
_atom_site_fract_y
_atom_site_fract_z
Be1 0.1232 0.6250 0.9982
Be2 0.3750 0.3732 0.4982
Be3 0.6268 0.1250 0.0018
Be4 0.8750 0.8768 0.5018
Rh1 0.2500 0.7500 0.5000
Rh2 0.5000 0.5000 0.0000
Se1 0.0000 0.0000 0.0000
Se2 0.7500 0.2500 0.5000
# **Spin magnetization**: 0.0 μB per formula unit
# **Calculated total energy**: -4.43 eV per atom



[12]
# GGA-PBE SrBeRh2Se, optimized geometry
data_SrBeRh2Se
_chemical_formula_sum 'Sr1 Be1 Rh2 Se1'
_cell_length_a 4.3555
_cell_length_b 4.3555
_cell_length_c 4.8280
_cell_angle_alpha 90.00
_cell_angle_beta 90.00
_cell_angle_gamma 90.00
_space_group_name_H-M_alt 'P 1'
_space_group_IT_number 1
_space_group_name_Hall 'P 1'
loop_
_atom_site_label
_atom_site_fract_x
_atom_site_fract_y
_atom_site_fract_z
Sr1 0.0000 0.0000 0.0000
Be1 0.5000 0.5000 0.5000
Rh1 0.0000 0.5000 0.5000
Rh2 0.5000 0.0000 0.5000
Se1 0.5000 0.5000 0.0000
# **Spin magnetization**: 0.0 μB per formula unit
# **Calculated total energy**: -4.89 eV per atom



Result set for raw formation energy: -50 -67 14 37 45 -30 -206 329 -118 -139 145 -170 meV per atom, one per record in the order listed.